## ZrTl2Sb (SCAN)

Data for a crystal of ZrTl2Sb relaxed with PBEsol.

- ΔE to the lowest computed polymorph: 0 meV/atom
- Uncorrected formation energy: -0.102 eV per atom

Cell lengths 3.138, 4.827, 14.540 Å; angles 90.00, 90.00, 90.00 degrees
Space group Immm (No. 71)
Unique sites:
1 Zr 0.000 0.000 0.000
2 Tl 0.000 0.500 0.309
3 Sb 0.000 0.000 0.500

***

## ZrTl2Sb (SCAN)

Data for a crystal of ZrTl2Sb relaxed with PBEsol.

- ΔE to the lowest computed polymorph: 66 meV/atom
- Uncorrected formation energy: -0.036 eV per atom

Cell lengths 4.254, 4.254, 10.744 Å; angles 90.00, 90.00, 90.00 degrees
Space group I4/mmm (No. 139)
Unique sites:
1 Zr 0.000 0.000 0.000
2 Tl 0.000 0.500 0.250
3 Sb 0.000 0.000 0.500

***

## Zr4TlSb (SCAN)

Data for a crystal of Zr4TlSb relaxed with PBEsol.

- Uncorrected formation energy: 0.121 eV per atom

Cell lengths 8.132, 8.132, 8.132 Å; angles 90.00, 90.00, 90.00 degrees
Space group F-43m (No. 216)
Unique sites:
1 Zr 0.125 0.125 0.125
2 Tl 0.250 0.250 0.750
3 Sb 0.000 0.000 0.500

***

## ZrTlSb (SCAN)

Data for a crystal of ZrTlSb relaxed with PBEsol.

- ΔE to the lowest computed polymorph: 0 meV/atom
- Uncorrected formation energy: -0.102 eV per atom

Cell lengths 3.3289, 3.3289, 7.5063 Å; angles 90.00, 90.00, 120.00 degrees
Space group P3m1 (No. 156)
Unique sites:
1 Zr 0.0000 0.0000 0.0000
2 Tl 0.3333 0.6667 0.3253
3 Sb 0.6667 0.3333 0.6902

***

## ZrTlSb (SCAN)

Data for a crystal of ZrTlSb relaxed with PBEsol.

- ΔE to the lowest computed polymorph: 10 meV/atom
- Uncorrected formation energy: -0.092 eV per atom

Cell lengths 4.078, 4.911, 14.822 Å; angles 90.00, 90.00, 90.00 degrees
Space group Fmm2 (No. 42)
Unique sites:
1 Zr 0.000 0.000 0.000
2 Tl 0.000 0.000 0.345
3 Sb 0.000 0.000 0.643

***

## Zr2TlSb (SCAN)

Data for a crystal of Zr2TlSb relaxed with PBEsol.

- Uncorrected formation energy: -0.393 eV per atom

Cell lengths 4.230, 5.097, 8.216 Å; angles 90.00, 90.00, 90.00 degrees
Space group Cmmm (No. 65)
Unique sites:
1 Zr 0.000 0.000 0.242
2 Tl 0.000 0.500 0.500
3 Sb 0.000 0.500 0.000